(1)
# ZnCdMo2

ZnCdMo2 after structural relaxation (PBE-GGA, Alexandria via LeMat-Bulk).

For the energy relative to the lowest polymorph listed for this composition, the calculation gives 124 meV/atom. As for the energy of formation: 307 meV per atom.

a b c (Å): 2.719 2.719 8.839
angles (deg): 90.00 90.00 90.00
Space group P4/mmm (No. 123)
One atom of each set of equivalent atoms:
1 Zn 0.000 0.000 0.000 (multiplicity 1)
2 Cd 0.000 0.000 0.500 (multiplicity 1)
3 Mo 0.500 0.500 0.233 (multiplicity 2)

---

(2)
# ZnCdMo2

ZnCdMo2 after structural relaxation (PBE-GGA, Alexandria via LeMat-Bulk).

For the energy relative to the lowest polymorph listed for this composition, the calculation gives 248 meV/atom. As for the energy of formation: 430 meV per atom.

a b c (Å): 6.424 6.424 6.424
angles (deg): 90.00 90.00 90.00
Space group F-43m (No. 216)
One atom of each set of equivalent atoms:
1 Zn 0.000 0.000 0.000 (multiplicity 4)
2 Cd 0.250 0.250 0.250 (multiplicity 4)
3 Mo 0.000 0.000 0.500 (multiplicity 4)
4 Mo 0.250 0.250 0.750 (multiplicity 4)

---

(3)
# ZnCdMo2

ZnCdMo2 after structural relaxation (PBE-GGA, Alexandria via LeMat-Bulk).

For the energy relative to the lowest polymorph listed for this composition, the calculation gives 141 meV/atom. As for the energy of formation: 324 meV per atom.

a b c (Å): 3.549 4.073 4.535
angles (deg): 90.00 90.00 90.00
Space group Pmmm (No. 47)
One atom of each set of equivalent atoms:
1 Zn 0.000 0.000 0.000 (multiplicity 1)
2 Cd 0.500 0.500 0.000 (multiplicity 1)
3 Mo 0.000 0.500 0.500 (multiplicity 1)
4 Mo 0.500 0.000 0.500 (multiplicity 1)

---

(4)
# ZrCd2Mo

ZrCd2Mo after structural relaxation (PBE-GGA, Alexandria via LeMat-Bulk).

For the energy relative to the lowest polymorph listed for this composition, the calculation gives 0 meV/atom. As for the energy of formation: 123 meV per atom.

a b c (Å): 3.596 4.638 9.590
angles (deg): 90.00 90.00 90.00
Space group Cmm2 (No. 35)
One atom of each set of equivalent atoms:
1 Zr 0.000 0.000 0.000 (multiplicity 2)
2 Cd 0.000 0.000 0.532 (multiplicity 2)
3 Cd 0.000 0.500 0.268 (multiplicity 2)
4 Mo 0.000 0.500 0.771 (multiplicity 2)

---

(5)
# ZrCdMo

ZrCdMo after structural relaxation (PBE-GGA, Alexandria via LeMat-Bulk).

For the energy relative to the lowest polymorph listed for this composition, the calculation gives 972 meV/atom. As for the energy of formation: 1148 meV per atom.

a b c (Å): 6.613 6.613 6.613
angles (deg): 90.00 90.00 90.00
Space group F-43m (No. 216)
One atom of each set of equivalent atoms:
1 Zr 0.000 0.000 0.000 (multiplicity 4)
2 Cd 0.250 0.250 0.750 (multiplicity 4)
3 Mo 0.250 0.250 0.250 (multiplicity 4)

---

(6)
# ZrCd2Mo

ZrCd2Mo after structural relaxation (PBE-GGA, Alexandria via LeMat-Bulk).

For the energy relative to the lowest polymorph listed for this composition, the calculation gives 77 meV/atom. As for the energy of formation: 200 meV per atom.

a b c (Å): 5.738 9.310 2.914
angles (deg): 90.00 90.00 90.00
Space group Cmmm (No. 65)
One atom of each set of equivalent atoms:
1 Zr 0.000 0.000 0.000 (multiplicity 2)
2 Cd 0.250 0.250 0.500 (multiplicity 4)
3 Mo 0.000 0.500 0.000 (multiplicity 2)

---

no.,calculated density (Mg/m³),density of states at the Fermi level (states/eV/cell)
1,9.4,1.84
2,9.3,5.36
3,9.4,2.39
4,8.6,4.02
5,6.9,23.63
6,8.8,7.93